VASP calculation (GGA-PBE) on a geometry-optimized Sc2Fe2Co5Cu structure.

a b c (Å): 8.4771 8.4771 3.7035
angles (deg): 90.00 90.00 90.00
Last column: nearest neighbours and their distance in Å.
Space group P4/mbm (No. 127)
Inequivalent atoms, fractional coordinates:
Sc 0.1819 0.3181 0.0000 (multiplicity 4)  3 Fe 2.42-2.59
Fe 0.1160 0.6160 0.0000 (multiplicity 4)  6 Co 2.32-2.46, 3 Sc 2.42-2.59
Co 0.0000 0.5000 0.5000 (multiplicity 2)  4 Fe 2.32, 4 Co 2.57
Co 0.0592 0.7975 0.5000 (multiplicity 8)  2 Fe 2.46, 3 Co 2.53-2.57, 2 Cu 2.57
Cu 0.0000 0.0000 0.0000 (multiplicity 2)  8 Co 2.57

ρ = 6.99 g/cm³
Formation energy from the elements = -0.027 eV/atom
Electronic total energy = -139.0 eV per cell